1.
Material: MgZr2Hg
Method: DFT, GGA-PBE
State: relaxed

Cell and atoms, written as POSCAR:
```
MgZr2Hg
1.0
10.832 0.011 0.007
10.380 3.095 0.007
10.380 1.520 2.696
Zr Hg Mg
2 1 1
Direct
0.998 0.998 0.998
0.502 0.502 0.502
0.250 0.250 0.250
0.750 0.750 0.750
```

Output
SG: R-3m
Energy of formation in kJ per mole of atoms: 2.2
Energy in eV per atom: -4.726



2.
Material: MgZr2Hg
Method: DFT, GGA-PBE
State: relaxed

Cell and atoms, written as POSCAR:
```
MgZr2Hg
1.0
-2.791 0.275 4.775
-5.446 -0.771 -0.641
4.498 -2.764 -1.672
Zr Hg Mg
2 1 1
Direct
0.000 0.000 0.000
0.250 0.750 0.500
0.500 0.500 0.000
0.750 0.250 0.500
```

Output
SG: I-4m2
Energy of formation in kJ per mole of atoms: -0.9
Energy in eV per atom: -4.758



3.
Material: MgZr2Hg4
Method: DFT, GGA-PBE
State: relaxed

Cell and atoms, written as POSCAR:
```
MgZr2Hg4
1.0
-1.920 -4.466 -0.230
1.450 -3.097 -3.463
5.543 -5.219 3.568
Mg Hg Zr
1 4 2
Direct
0.000 0.000 0.000
0.382 0.382 0.854
0.130 0.130 0.610
0.618 0.618 0.146
0.870 0.870 0.390
0.252 0.252 0.243
0.748 0.748 0.757
```

Output
SG: R-3m
Energy of formation in kJ per mole of atoms: -2.7
Energy in eV per atom: -2.870



4.
Material: Mg2ZrHg2
Method: DFT, GGA-PBE
State: relaxed

Cell and atoms, written as POSCAR:
```
Mg2ZrHg2
1.0
4.154 0.000 0.000
0.000 4.154 0.000
2.077 2.077 6.406
Hg Zr Mg
2 1 2
Direct
0.606 0.606 0.788
0.394 0.394 0.212
0.000 0.000 0.000
0.750 0.250 0.500
0.250 0.750 0.500
```

Output
SG: I4/mmm
Energy of formation in kJ per mole of atoms: 1.9
Energy in eV per atom: -2.449



5.
Material: Mg2Zr5Hg12
Method: DFT, GGA-PBE
State: relaxed

Cell and atoms, written as POSCAR:
```
Mg2Zr5Hg12
1.0
9.441 0.000 0.000
-4.721 6.856 1.106
0.000 -1.165 6.384
Hg Zr Mg
12 5 2
Direct
0.460 0.919 0.723
0.042 0.630 0.797
0.106 0.211 0.920
0.588 0.630 0.797
0.625 0.779 0.374
0.958 0.370 0.203
0.845 0.221 0.626
0.155 0.779 0.374
0.375 0.221 0.626
0.412 0.370 0.203
0.540 0.081 0.277
0.894 0.789 0.080
0.000 0.000 0.500
0.675 0.350 0.925
0.757 0.514 0.456
0.325 0.650 0.075
0.243 0.486 0.544
0.262 0.000 0.000
0.738 0.000 0.000
```

Output
SG: C2/m
Energy of formation in kJ per mole of atoms: -1.7
Energy in eV per atom: -2.626



6.
Material: MgZrHg3
Method: DFT, GGA-PBE
State: relaxed

Cell and atoms, written as POSCAR:
```
MgZrHg3
1.0
-2.379 -0.189 -4.591
5.271 -0.846 -2.696
-2.274 -6.991 4.383
Hg Mg Zr
6 2 2
Direct
0.599 0.350 0.700
0.800 0.050 0.100
0.401 0.650 0.300
0.994 0.245 0.491
0.006 0.755 0.509
0.200 0.950 0.900
0.607 0.856 0.713
0.393 0.144 0.287
0.193 0.444 0.888
0.807 0.556 0.112
```

Output
SG: C2/m
Energy of formation in kJ per mole of atoms: 5.6
Energy in eV per atom: -2.152



7.
Material: MgZr2Hg
Method: DFT, GGA-PBE
State: relaxed

Cell and atoms, written as POSCAR:
```
MgZr2Hg
1.0
5.623 0.014 0.046
4.668 3.136 0.046
1.853 0.567 4.997
Hg Mg Zr
1 1 2
Direct
0.498 0.498 0.563
0.762 0.762 0.687
0.244 0.244 0.197
0.996 0.996 0.053
```

Output
SG: Cm
Energy of formation in kJ per mole of atoms: -8.7
Energy in eV per atom: -4.839



8.
Material: MgZr2Hg
Method: DFT, GGA-PBE
State: relaxed

Cell and atoms, written as POSCAR:
```
MgZr2Hg
1.0
5.489 0.002 0.000
2.058 5.089 0.000
-3.774 -2.546 3.068
Hg Zr Mg
1 2 1
Direct
0.250 0.750 0.500
0.500 0.500 0.000
0.000 0.000 0.000
0.750 0.250 0.500
```

Output
SG: I4/mmm
Energy of formation in kJ per mole of atoms: -9.4
Energy in eV per atom: -4.845